[1]
Crystalline Ac3SnPd6Pb2 at its relaxed geometry, computed with PBE-GGA.

a = 6.148 Å, b = 6.148 Å, c = 9.041 Å
α = 90.00°, β = 90.00°, γ = 120.00°
Sites, in units of the cell vectors:
Ac (0.333, 0.667, 0.628)
Ac (0.667, 0.333, 0.372)
Ac (0.000, 0.000, 0.000)
Sn (0.000, 0.000, 0.500)
Pd (0.645, 0.823, 0.287)
Pd (0.177, 0.355, 0.287)
Pd (0.177, 0.823, 0.287)
Pd (0.823, 0.645, 0.713)
Pd (0.355, 0.177, 0.713)
Pd (0.823, 0.177, 0.713)
Pb (0.667, 0.333, 0.972)
Pb (0.333, 0.667, 0.028)

Computed properties:
The calculation puts the calculated formation energy at -0.697 eV per atom. The calculation puts the magnetic moment at 0.0 μB per cell. Its crystal system is trigonal. Its final energy is -0.194 Ha/atom.

[2]
Crystalline Ac2SnPd6Pb at its relaxed geometry, computed with PBE-GGA.

a = 7.144 Å, b = 6.877 Å, c = 7.136 Å
α = 80.84°, β = 47.16°, γ = 99.89°
Sites, in units of the cell vectors:
Ac (0.749, 0.222, 0.526)
Ac (0.251, 0.778, 0.474)
Sn (0.000, 0.000, 0.000)
Pd (0.238, 0.234, 0.506)
Pd (0.749, 0.578, 0.174)
Pd (0.259, 0.765, 0.997)
Pd (0.741, 0.235, 0.003)
Pd (0.251, 0.422, 0.826)
Pd (0.762, 0.766, 0.494)
Pb (0.500, 0.500, 0.000)

Computed properties:
The calculation puts the calculated formation energy at -0.613 eV per atom. The calculation puts the magnetic moment at 0.0 μB per cell. Its crystal system is triclinic. Its final energy is -0.196 Ha/atom.

[3]
Crystalline Ac2SnPd4Pb3 at its relaxed geometry, computed with PBE-GGA.

a = 4.821 Å, b = 4.821 Å, c = 10.875 Å
α = 90.00°, β = 90.00°, γ = 90.00°
Sites, in units of the cell vectors:
Ac (0.500, 0.000, 0.241)
Ac (0.000, 0.500, 0.759)
Sn (0.500, 0.500, 0.500)
Pd (0.500, 0.500, 0.000)
Pd (0.000, 0.000, 0.000)
Pd (0.500, 0.000, 0.626)
Pd (0.000, 0.500, 0.374)
Pb (0.000, 0.000, 0.500)
Pb (0.500, 0.000, 0.875)
Pb (0.000, 0.500, 0.125)

Computed properties:
The calculation puts the calculated formation energy at -0.606 eV per atom. The calculation puts the magnetic moment at 0.0 μB per cell. Its crystal system is tetragonal. Its final energy is -0.184 Ha/atom.